1.
DFT (PBE) results for a geometry-optimized Mg2BeAl structure.

a = 3.807 Å, b = 5.918 Å, c = 6.633 Å
α = 87.39°, β = 89.97°, γ = 71.34°
Fractional positions:
Mg (0.045, 0.412, 0.284)
Mg (0.357, 0.786, 0.052)
Mg (0.643, 0.214, 0.948)
Mg (0.955, 0.588, 0.716)
Be (0.406, 0.686, 0.451)
Be (0.594, 0.314, 0.549)
Al (0.226, 0.048, 0.640)
Al (0.774, 0.952, 0.360)

## Properties
Energy relative to the lowest polymorph listed for this composition (meV per atom): 0
E_tot (eV/atom): -2.5922
Magnetic moment (Bohr magnetons per cell): 0.00
ΔE_f (eV/atom): 0.072
Volume (Å³ per atom): 17.7
Space group: P-1
DOS at the Fermi energy (states/eV/cell): 2.40

2.
DFT (PBE) results for a geometry-optimized MgBeAl structure.

a = 4.206 Å, b = 4.206 Å, c = 3.123 Å
α = 90.00°, β = 90.00°, γ = 120.00°
Fractional positions:
Mg (0.000, 0.000, 0.000)
Be (0.333, 0.667, 0.500)
Al (0.667, 0.333, 0.500)

## Properties
Energy relative to the lowest polymorph listed for this composition (meV per atom): 134
E_tot (eV/atom): -2.8173
Magnetic moment (Bohr magnetons per cell): 0.00
ΔE_f (eV/atom): 0.204
Volume (Å³ per atom): 16.0
Space group: P-6m2
DOS at the Fermi energy (states/eV/cell): 1.33

3.
DFT (PBE) results for a geometry-optimized Mg2BeAl structure.

a = 9.032 Å, b = 9.032 Å, c = 9.032 Å
α = 19.31°, β = 19.31°, γ = 19.31°
Fractional positions:
Mg (0.242, 0.242, 0.242)
Mg (0.758, 0.758, 0.758)
Be (0.500, 0.500, 0.500)
Al (0.000, 0.000, 0.000)

## Properties
Energy relative to the lowest polymorph listed for this composition (meV per atom): 207
E_tot (eV/atom): -2.3847
Magnetic moment (Bohr magnetons per cell): 0.00
ΔE_f (eV/atom): 0.280
Volume (Å³ per atom): 17.6
Space group: R-3m
DOS at the Fermi energy (states/eV/cell): 1.62

4.
DFT (PBE) results for a geometry-optimized MgBeAl2 structure.

a = 8.794 Å, b = 8.794 Å, c = 8.794 Å
α = 19.26°, β = 19.26°, γ = 19.26°
Fractional positions:
Mg (0.000, 0.000, 0.000)
Be (0.500, 0.500, 0.500)
Al (0.239, 0.239, 0.239)
Al (0.761, 0.761, 0.761)

## Properties
Energy relative to the lowest polymorph listed for this composition (meV per atom): 91
E_tot (eV/atom): -3.0364
Magnetic moment (Bohr magnetons per cell): 0.00
ΔE_f (eV/atom): 0.165
Volume (Å³ per atom): 16.2
Space group: R-3m
DOS at the Fermi energy (states/eV/cell): 1.00

5.
DFT (PBE) results for a geometry-optimized MgBe2Al2 structure.

a = 6.880 Å, b = 6.880 Å, c = 3.014 Å
α = 90.00°, β = 90.00°, γ = 90.00°
Fractional positions:
Mg (0.000, 0.000, 0.000)
Mg (0.500, 0.500, 0.000)
Be (0.111, 0.389, 0.000)
Be (0.389, 0.889, 0.000)
Be (0.611, 0.111, 0.000)
Be (0.889, 0.611, 0.000)
Al (0.180, 0.680, 0.500)
Al (0.320, 0.180, 0.500)
Al (0.680, 0.820, 0.500)
Al (0.820, 0.320, 0.500)

## Properties
Energy relative to the lowest polymorph listed for this composition (meV per atom): 0
E_tot (eV/atom): -3.0901
Magnetic moment (Bohr magnetons per cell): 0.00
ΔE_f (eV/atom): 0.216
Volume (Å³ per atom): 14.3
Space group: P4/mbm
DOS at the Fermi energy (states/eV/cell): 3.56

6.
DFT (PBE) results for a geometry-optimized Mg3BeAl structure.

a = 4.752 Å, b = 4.752 Å, c = 4.752 Å
α = 90.00°, β = 90.00°, γ = 90.00°
Fractional positions:
Mg (0.000, 0.000, 0.500)
Mg (0.000, 0.500, 0.000)
Mg (0.500, 0.000, 0.000)
Be (0.000, 0.000, 0.000)
Al (0.500, 0.500, 0.500)

## Properties
Energy relative to the lowest polymorph listed for this composition (meV per atom): 0
E_tot (eV/atom): -2.0702
Magnetic moment (Bohr magnetons per cell): 0.00
ΔE_f (eV/atom): 0.380
Volume (Å³ per atom): 21.5
Space group: Pm-3m
DOS at the Fermi energy (states/eV/cell): 1.38